Record 1
The following is a DFT calculation (PBE) of a geometry-optimized Mg2CdIn2Hg4 structure.

Values from the calculation:
symmetry: C2/m (12)
energy of formation from the pure elements: -0.5 eV/f.u.

Unit cell a=4.2423 b=7.4783 c=7.3962 alpha=105.83 beta=90.00 gamma=106.48
Fractional positions:
Hg: 0.5444 0.0888 0.3271
Hg: 0.2357 0.4715 0.3412
Hg: 0.7643 0.5285 0.6588
Hg: 0.4556 0.9112 0.6729
Mg: 0.8889 0.7778 0.3522
Mg: 0.1111 0.2222 0.6478
In: 0.6650 0.3300 0.0090
In: 0.3350 0.6700 0.9910
Cd: 0.0000 0.0000 0.0000

***

Record 2
The following is a DFT calculation (PBE) of a geometry-optimized Ag2HgSe structure.

Values from the calculation:
symmetry: P4mm (99)
electronic total energy: -8.98 eV per cell

Unit cell a=2.9596 b=2.9596 c=9.6098 alpha=90.00 beta=90.00 gamma=90.00
Fractional positions:
Se: 0.5000 0.5000 0.7856
Ag: 0.0000 0.0000 0.0140
Ag: 0.5000 0.5000 0.2277
Hg: 0.0000 0.0000 0.4728

***

Record 3
The following is a DFT calculation (PBE) of a geometry-optimized TcNClF2 structure.

Values from the calculation:
symmetry: P4/mmm (123)
electronic total energy: -26.49 eV per cell

Unit cell a=4.0938 b=4.0938 c=3.8620 alpha=90.00 beta=90.00 gamma=90.00
Fractional positions:
F: 0.5000 0.0000 0.0000
F: 0.0000 0.5000 0.0000
Cl: 0.5000 0.5000 0.5000
Tc: 0.0000 0.0000 0.0000
N: 0.0000 0.0000 0.5000

***

Record 4
The following is a DFT calculation (PBE) of a geometry-optimized Re2NiW structure.

Values from the calculation:
symmetry: P4/mmm (123)
energy of formation from the pure elements: 0.5 eV/f.u.

Unit cell a=3.1879 b=3.1879 c=5.6545 alpha=90.00 beta=90.00 gamma=90.00
Fractional positions:
Re: 0.0000 0.0000 0.9780
Re: 0.0000 0.0000 0.5220
Ni: 0.5000 0.5000 0.7500
W: 0.5000 0.5000 0.2500

***

Record 5
The following is a DFT calculation (PBE) of a geometry-optimized TeH4Se2 structure.

Values from the calculation:
symmetry: P1 (1)
electronic total energy: -46.29 eV per cell

Unit cell a=5.7462 b=8.1755 c=7.8336 alpha=83.94 beta=75.20 gamma=89.83
Fractional positions:
Se: 0.7994 0.7109 0.7579
Se: 0.3695 0.8906 0.3967
Se: 0.0770 0.3533 0.1529
Se: 0.6274 0.2454 0.6667
H: 0.5008 0.1440 0.5693
H: 0.5885 0.8948 0.2414
H: 0.2630 0.5433 0.6704
H: 0.5475 0.7525 0.8485
H: 0.2097 0.8698 0.2774
H: 0.2849 0.3939 0.2225
H: 0.9384 0.2915 0.3374
H: 0.0214 0.0384 0.8690
Te: 0.5219 0.5244 0.5138
Te: 0.0005 0.8470 0.9760

***

Record 6
The following is a DFT calculation (PBE) of a geometry-optimized LaTlCl2 structure.

Values from the calculation:
symmetry: P4/mmm (123)
electronic total energy: -16.68 eV per cell

Unit cell a=3.5390 b=3.5391 c=10.3635 alpha=90.00 beta=90.00 gamma=90.00
Fractional positions:
Tl: 0.5000 0.5000 0.7500
Cl: 0.0000 0.0000 0.4092
Cl: 0.0000 0.0000 0.0908
La: 0.5000 0.5000 0.2500